Version 1
Material: Rb2NaNb
Method: DFT, PBE
State: optimized geometry

Properties
Magnetization: 20.80 μB per cell
Space-group type: I-42d, No. 122

The structure in POSCAR format:
```
Rb2NaNb
1.0
10.347 0.000 0.000
0.000 10.347 0.000
0.000 0.000 7.398
Rb Na Nb
8 4 4
direct
0.242 0.250 0.125
0.250 0.742 0.375
0.250 0.758 0.875
0.258 0.250 0.625
0.742 0.750 0.625
0.750 0.242 0.875
0.750 0.258 0.375
0.758 0.750 0.125
0.000 0.000 0.500
0.000 0.500 0.750
0.500 0.000 0.250
0.500 0.500 0.000
0.000 0.000 0.000
0.000 0.500 0.250
0.500 0.000 0.750
0.500 0.500 0.500
```

Version 2
Material: Rb2NaNb
Method: DFT, PBE
State: optimized geometry

Properties
Magnetization: 20.65 μB per cell
Space-group type: Fm-3m, No. 225

The structure in POSCAR format:
```
Rb2NaNb
1.0
9.164 0.000 0.000
0.000 9.164 0.000
0.000 0.000 9.164
Rb Na Nb
8 4 4
direct
0.250 0.250 0.250
0.250 0.250 0.750
0.250 0.750 0.250
0.250 0.750 0.750
0.750 0.250 0.250
0.750 0.250 0.750
0.750 0.750 0.250
0.750 0.750 0.750
0.000 0.000 0.000
0.000 0.500 0.500
0.500 0.000 0.500
0.500 0.500 0.000
0.000 0.000 0.500
0.000 0.500 0.000
0.500 0.000 0.000
0.500 0.500 0.500
```

The structure with the greatest stability is version 2.

Version 1
Material: Na2NbRh
Method: DFT, PBE
State: optimized geometry

Properties
Magnetization: 0.00 μB per cell
Space-group type: Fm-3m, No. 225

The structure in POSCAR format:
```
Na2NbRh
1.0
6.678 0.000 0.000
0.000 6.678 0.000
0.000 0.000 6.678
Na Nb Rh
8 4 4
direct
0.250 0.250 0.250
0.250 0.250 0.750
0.250 0.750 0.250
0.250 0.750 0.750
0.750 0.250 0.250
0.750 0.250 0.750
0.750 0.750 0.250
0.750 0.750 0.750
0.000 0.000 0.000
0.000 0.500 0.500
0.500 0.000 0.500
0.500 0.500 0.000
0.000 0.000 0.500
0.000 0.500 0.000
0.500 0.000 0.000
0.500 0.500 0.500
```

Version 2
Material: Na2NbRh
Method: DFT, PBE
State: optimized geometry

Properties
Magnetization: 8.11 μB per cell
Space-group type: I-42d, No. 122

The structure in POSCAR format:
```
Na2NbRh
1.0
8.402 0.000 0.000
0.000 8.402 0.000
0.000 0.000 5.001
Na Nb Rh
8 4 4
direct
0.208 0.250 0.125
0.250 0.708 0.375
0.250 0.792 0.875
0.292 0.250 0.625
0.708 0.750 0.625
0.750 0.208 0.875
0.750 0.292 0.375
0.792 0.750 0.125
0.000 0.000 0.500
0.000 0.500 0.750
0.500 0.000 0.250
0.500 0.500 0.000
0.000 0.000 0.000
0.000 0.500 0.250
0.500 0.000 0.750
0.500 0.500 0.500
```

The structure with the greatest stability is version 2.

Version 1
Material: NaNb2Rh
Method: DFT, PBE
State: optimized geometry

Properties
Magnetization: 0.00 μB per cell
Space-group type: Fm-3m, No. 225

The structure in POSCAR format:
```
NaNb2Rh
1.0
6.510 0.000 0.000
0.000 6.510 0.000
0.000 0.000 6.510
Na Nb Rh
4 8 4
direct
0.000 0.000 0.000
0.000 0.500 0.500
0.500 0.000 0.500
0.500 0.500 0.000
0.250 0.250 0.250
0.250 0.250 0.750
0.250 0.750 0.250
0.250 0.750 0.750
0.750 0.250 0.250
0.750 0.250 0.750
0.750 0.750 0.250
0.750 0.750 0.750
0.000 0.000 0.500
0.000 0.500 0.000
0.500 0.000 0.000
0.500 0.500 0.500
```

Version 2
Material: NaNb2Rh
Method: DFT, PBE
State: optimized geometry

Properties
Magnetization: 0.00 μB per cell
Space-group type: I-42d, No. 122

The structure in POSCAR format:
```
NaNb2Rh
1.0
7.605 0.000 0.000
0.000 7.605 0.000
0.000 0.000 5.498
Na Nb Rh
4 8 4
direct
0.000 0.000 0.000
0.000 0.500 0.250
0.500 0.000 0.750
0.500 0.500 0.500
0.199 0.250 0.625
0.250 0.699 0.875
0.250 0.801 0.375
0.301 0.250 0.125
0.699 0.750 0.125
0.750 0.199 0.375
0.750 0.301 0.875
0.801 0.750 0.625
0.000 0.000 0.500
0.000 0.500 0.750
0.500 0.000 0.250
0.500 0.500 0.000
```

The structure with the greatest stability is version 1.

Version 1
Material: Na2NbRu2
Method: DFT, PBE
State: optimized geometry

Properties
Magnetization: 0.00 μB per cell
Space-group type: P4/mbm, No. 127

The structure in POSCAR format:
```
Na2NbRu2
1.0
6.305 0.000 0.000
0.000 6.305 0.000
0.000 0.000 5.307
Na Nb Ru
4 2 4
direct
0.172 0.328 0.000
0.328 0.828 0.000
0.672 0.172 0.000
0.828 0.672 0.000
0.000 0.000 0.500
0.500 0.500 0.500
0.137 0.637 0.500
0.363 0.137 0.500
0.637 0.863 0.500
0.863 0.363 0.500
```

Version 2
Material: Na2NbRu2
Method: DFT, PBE
State: optimized geometry

Properties
Magnetization: 1.52 μB per cell
Space-group type: I4/mmm, No. 139

The structure in POSCAR format:
```
Na2NbRu2
1.0
3.400 0.000 0.000
0.000 3.400 0.000
0.000 0.000 15.312
Na Nb Ru
4 2 4
direct
0.000 0.500 0.250
0.000 0.500 0.750
0.500 0.000 0.250
0.500 0.000 0.750
0.000 0.000 0.000
0.500 0.500 0.500
0.000 0.000 0.413
0.000 0.000 0.587
0.500 0.500 0.087
0.500 0.500 0.913
```

The structure with the greatest stability is version 1.